A relaxed structure of RbSiGe2Pd. Source: Alexandria via LeMat-Bulk, functional GGA-PBEsol.

Computed properties:
Energy relative to the elements, uncorrected   0.343 eV/atom
Magnetization   0.00 Bohr magnetons per cell
D(E_F)   4.7 states/eV per cell

Cell lengths 5.0181, 5.0181, 4.7602 Å; angles 90.00, 90.00, 90.00 degrees
Last column: nearest neighbours and their distance in Å.
Element x y z (fractional)
1 Rb 0.0000 0.0000 0.0000  8 Ge 3.46, 4 Si 3.55
2 Si 0.5000 0.5000 0.0000  2 Pd 2.38
3 Ge 0.0000 0.5000 0.5000  2 Pd 2.51
4 Ge 0.5000 0.0000 0.5000  2 Pd 2.51
5 Pd 0.5000 0.5000 0.5000  2 Si 2.38, 4 Ge 2.51